VASP calculation (PBE) on a relaxed UZnGaTc crystal.

Its formation energy is 0.157 eV per atom.

It has space group F-43m (No. 216), with a = 6.555 Å, b = 6.555 Å, c = 6.555 Å, α = 90.00°, β = 90.00° and γ = 90.00°. The inequivalent atoms are U at (0.000, 0.000, 0.000), Zn at (0.250, 0.250, 0.750), Ga at (0.000, 0.000, 0.500) and Tc at (0.250, 0.250, 0.250).